Record 1
A plane-wave DFT calculation with PBE-GGA was carried out for an optimized crystal structure of K4CdAg4.

It has space group I-42m (No. 121), with a = 7.139 Å, b = 7.139 Å, c = 14.229 Å, α = 90.00°, β = 90.00° and γ = 90.00°. The asymmetric unit holds K at (0.218, 0.218, 0.361), Cd at (0.000, 0.000, 0.000) and Ag at (0.228, 0.228, 0.115).

The value obtained for the calculated volume is 40.284 Å³/atom. As for the total energy: -1.75 eV/atom.

Record 2
A plane-wave DFT calculation with PBE-GGA was carried out for an optimized crystal structure of K2CdAg2.

It has space group I4/mmm (No. 139), with a = 6.586 Å, b = 6.586 Å, c = 8.282 Å, α = 90.00°, β = 90.00° and γ = 90.00°. The asymmetric unit holds K at (0.000, 0.500, 0.250), Cd at (0.000, 0.000, 0.000) and Ag at (0.000, 0.000, 0.337).

The value obtained for the calculated volume is 35.922 Å³/atom. As for the total energy: -1.69 eV/atom.

Record 3
A plane-wave DFT calculation with PBE-GGA was carried out for an optimized crystal structure of K3CdAg2.

It has space group P2_1/c (No. 14), with a = 8.934 Å, b = 9.566 Å, c = 10.697 Å, α = 90.00°, β = 104.40° and γ = 90.00°. The asymmetric unit holds K at (0.166, 0.098, 0.460), K at (0.214, 0.050, 0.104), K at (0.306, 0.712, 0.349), Cd at (0.411, 0.153, 0.808), Ag at (0.082, 0.118, 0.763) and Ag at (0.493, 0.555, 0.125).

The value obtained for the calculated volume is 36.895 Å³/atom. As for the total energy: -1.64 eV/atom.

Record 4
A plane-wave DFT calculation with PBE-GGA was carried out for an optimized crystal structure of K2CdAg3.

It has space group C2/m (No. 12), with a = 10.282 Å, b = 6.159 Å, c = 5.982 Å, α = 90.00°, β = 123.53° and γ = 90.00°. The asymmetric unit holds K at (0.122, 0.000, 0.368), Cd at (0.000, 0.500, 0.500), Ag at (0.000, 0.500, 0.000) and Ag at (0.250, 0.250, 0.000).

The value obtained for the calculated volume is 26.319 Å³/atom. As for the total energy: -1.95 eV/atom.

Question: Which value of total energy does entry 3 give?
Answer: -1.64 eV/atom

Question: What is the total energy in the first record?
Answer: -1.75 eV/atom

Question: Number 4 is which compound?
Answer: K2CdAg3